Crystalline NdZnInSe3 at its relaxed geometry. Source: OQMD via LeMat-Bulk, functional PBE.

Cell: 8.516 4.386 16.708 Å, 90.00 90.00 90.00°
Space group Pnma (No. 62)
Unique sites:
Nd1 0.246 0.250 0.047 x4
Zn1 0.140 0.250 0.360 x4
In1 0.074 0.250 0.784 x4
Se1 0.001 0.750 0.407 x4
Se2 0.126 0.750 0.947 x4
Se3 0.190 0.250 0.216 x4

Values from the calculation:
Energy (eV per atom): -4.19
Magnetic moment (Bohr magnetons per cell): 0.0
ΔE to the lowest computed polymorph (eV per atom): 0.077